PBE Zr3TiRh, relaxed; E = -7.749 eV/atom; total magnetization = 0.00 Bohr magnetons per cell; calculated formation energy = 429 meV per atom; polymorph energy (0 for the lowest one) = 0.6713 eV/atom
1.0
4.998 0.000 0.000
0.000 4.998 0.000
0.000 0.000 4.998
Zr Ti Rh
3 1 1
direct
0.000 0.000 0.500
0.000 0.500 0.000
0.500 0.000 0.000
0.500 0.500 0.500
0.000 0.000 0.000